1.
{"formula": "RuWBr4", "functional": "meta-GGA SCAN", "state": "PBEsol geometry", "lattice_angstrom": [[0.000, 4.107, 4.107], [4.107, 0.000, 4.107], [4.107, 4.107, 0.000]], "species": ["Ru", "W", "Br", "Br", "Br", "Br"], "fractional_positions": [[0.000, 0.000, 0.000], [0.750, 0.750, 0.750], [0.375, 0.375, 0.375], [0.375, 0.375, 0.875], [0.375, 0.875, 0.375], [0.875, 0.375, 0.375]], "space_group": "F-43m, No. 216", "formation_energy_uncorrected_ev_per_atom": 2.1397, "final_energy_ev_per_atom": -28.252}

2.
{"formula": "YRuBr2", "functional": "meta-GGA SCAN", "state": "PBEsol geometry", "lattice_angstrom": [[3.965, 0.000, 0.000], [0.000, 3.763, 0.000], [-1.331, 0.000, 6.816]], "species": ["Y", "Ru", "Br", "Br"], "fractional_positions": [[0.000, 0.000, 0.000], [0.465, 0.500, 0.907], [0.366, 0.000, 0.664], [0.732, 0.500, 0.263]], "space_group": "Pm, No. 6", "formation_energy_uncorrected_ev_per_atom": -0.7200, "de_polymorph_ev_per_atom": 0.000, "final_energy_ev_per_atom": -26.117}

3.
{"formula": "YRu2Br", "functional": "meta-GGA SCAN", "state": "PBEsol geometry", "lattice_angstrom": [[10.329, 0.000, 0.000], [0.000, 3.141, 0.000], [-0.166, 0.000, 4.512]], "species": ["Y", "Y", "Ru", "Ru", "Ru", "Ru", "Br", "Br"], "fractional_positions": [[0.000, 0.000, 0.000], [0.500, 0.500, 0.000], [0.220, 0.500, 0.213], [0.280, 0.000, 0.787], [0.720, 0.000, 0.213], [0.780, 0.500, 0.787], [0.000, 0.500, 0.500], [0.500, 0.000, 0.500]], "space_group": "C2/m, No. 12", "formation_energy_uncorrected_ev_per_atom": 0.1497, "de_polymorph_ev_per_atom": 0.304, "final_energy_ev_per_atom": -29.089}

4.
{"formula": "YRu2Br", "functional": "meta-GGA SCAN", "state": "PBEsol geometry", "lattice_angstrom": [[3.308, 0.000, 0.000], [0.000, 3.301, 0.000], [0.000, 0.000, 14.688]], "species": ["Y", "Y", "Ru", "Ru", "Ru", "Ru", "Br", "Br"], "fractional_positions": [[0.000, 0.000, 0.000], [0.000, 0.500, 0.500], [0.000, 0.000, 0.192], [0.000, 0.500, 0.692], [0.500, 0.000, 0.632], [0.500, 0.500, 0.132], [0.500, 0.000, 0.377], [0.500, 0.500, 0.877]], "space_group": "Amm2, No. 38", "formation_energy_uncorrected_ev_per_atom": -0.1545, "de_polymorph_ev_per_atom": 0.000, "final_energy_ev_per_atom": -29.393}

5.
{"formula": "YRu2Br", "functional": "meta-GGA SCAN", "state": "PBEsol geometry", "lattice_angstrom": [[3.773, 0.000, 0.000], [0.000, 3.773, 0.000], [0.000, 0.000, 9.903]], "species": ["Y", "Y", "Ru", "Ru", "Ru", "Ru", "Br", "Br"], "fractional_positions": [[0.000, 0.000, 0.000], [0.500, 0.500, 0.500], [0.000, 0.500, 0.250], [0.000, 0.500, 0.750], [0.500, 0.000, 0.250], [0.500, 0.000, 0.750], [0.000, 0.000, 0.500], [0.500, 0.500, 0.000]], "space_group": "I4/mmm, No. 139", "formation_energy_uncorrected_ev_per_atom": 0.2717, "de_polymorph_ev_per_atom": 0.426, "final_energy_ev_per_atom": -28.967}

6.
{"formula": "YRuBr2", "functional": "meta-GGA SCAN", "state": "PBEsol geometry", "lattice_angstrom": [[3.695, 0.000, 0.000], [0.000, 4.274, 0.000], [0.000, 0.000, 12.930]], "species": ["Y", "Y", "Ru", "Ru", "Br", "Br", "Br", "Br"], "fractional_positions": [[0.000, 0.000, 0.000], [0.500, 0.500, 0.500], [0.000, 0.000, 0.500], [0.500, 0.500, 0.000], [0.000, 0.500, 0.149], [0.000, 0.500, 0.851], [0.500, 0.000, 0.351], [0.500, 0.000, 0.649]], "space_group": "Immm, No. 71", "formation_energy_uncorrected_ev_per_atom": -0.6974, "de_polymorph_ev_per_atom": 0.023, "final_energy_ev_per_atom": -26.094}

7.
{"formula": "ZnRuBr", "functional": "meta-GGA SCAN", "state": "PBEsol geometry", "lattice_angstrom": [[6.012, 0.000, 0.000], [0.000, 6.012, 0.000], [0.000, 0.000, 6.012]], "species": ["Zn", "Zn", "Zn", "Zn", "Ru", "Ru", "Ru", "Ru", "Br", "Br", "Br", "Br"], "fractional_positions": [[0.000, 0.000, 0.000], [0.000, 0.500, 0.500], [0.500, 0.000, 0.500], [0.500, 0.500, 0.000], [0.000, 0.000, 0.500], [0.000, 0.500, 0.000], [0.500, 0.000, 0.000], [0.500, 0.500, 0.500], [0.250, 0.250, 0.750], [0.250, 0.750, 0.250], [0.750, 0.250, 0.250], [0.750, 0.750, 0.750]], "space_group": "F-43m, No. 216", "formation_energy_uncorrected_ev_per_atom": 1.1832, "final_energy_ev_per_atom": -21.417}

8.
{"formula": "ZnRu2Br", "functional": "meta-GGA SCAN", "state": "PBEsol geometry", "lattice_angstrom": [[2.857, 0.000, 0.000], [0.000, 4.370, 0.000], [0.000, 0.000, 4.815]], "species": ["Zn", "Ru", "Ru", "Br"], "fractional_positions": [[0.000, 0.000, 0.000], [0.000, 0.500, 0.500], [0.500, 0.500, 0.000], [0.500, 0.000, 0.500]], "space_group": "Pmmm, No. 47", "formation_energy_uncorrected_ev_per_atom": 0.7825, "de_polymorph_ev_per_atom": 0.114, "final_energy_ev_per_atom": -24.874}

9.
{"formula": "ZnRu2Br", "functional": "meta-GGA SCAN", "state": "PBEsol geometry", "lattice_angstrom": [[2.904, 0.000, 0.000], [0.000, 4.212, 0.000], [-0.810, 0.000, 5.072]], "species": ["Zn", "Ru", "Ru", "Br"], "fractional_positions": [[0.000, 0.000, 0.000], [0.354, 0.500, 0.219], [0.646, 0.500, 0.781], [0.500, 0.000, 0.500]], "space_group": "P2/m, No. 10", "formation_energy_uncorrected_ev_per_atom": 0.7279, "de_polymorph_ev_per_atom": 0.060, "final_energy_ev_per_atom": -24.929}

10.
{"formula": "ZnRu2Br", "functional": "meta-GGA SCAN", "state": "PBEsol geometry", "lattice_angstrom": [[2.836, 0.000, 0.000], [0.000, 4.950, 0.000], [0.000, 0.000, 8.557]], "species": ["Zn", "Zn", "Ru", "Ru", "Ru", "Ru", "Br", "Br"], "fractional_positions": [[0.000, 0.000, 0.000], [0.500, 0.500, 0.000], [0.000, 0.500, 0.246], [0.000, 0.500, 0.754], [0.500, 0.000, 0.246], [0.500, 0.000, 0.754], [0.000, 0.000, 0.500], [0.500, 0.500, 0.500]], "space_group": "Cmmm, No. 65", "formation_energy_uncorrected_ev_per_atom": 0.8191, "de_polymorph_ev_per_atom": 0.151, "final_energy_ev_per_atom": -24.838}

11.
{"formula": "ZnRu2Br", "functional": "meta-GGA SCAN", "state": "PBEsol geometry", "lattice_angstrom": [[3.062, 0.000, 0.000], [0.000, 3.062, 0.000], [0.000, 0.000, 6.066]], "species": ["Zn", "Ru", "Ru", "Br"], "fractional_positions": [[0.000, 0.000, 0.000], [0.500, 0.500, 0.238], [0.500, 0.500, 0.762], [0.000, 0.000, 0.500]], "space_group": "P4/mmm, No. 123", "formation_energy_uncorrected_ev_per_atom": 0.6684, "de_polymorph_ev_per_atom": 0.000, "final_energy_ev_per_atom": -24.988}

12.
{"formula": "ZrRuBr3", "functional": "meta-GGA SCAN", "state": "PBEsol geometry", "lattice_angstrom": [[4.894, 0.000, 0.000], [0.000, 4.894, 0.000], [0.000, 0.000, 4.894]], "species": ["Zr", "Ru", "Br", "Br", "Br"], "fractional_positions": [[0.000, 0.000, 0.000], [0.500, 0.500, 0.500], [0.000, 0.500, 0.500], [0.500, 0.000, 0.500], [0.500, 0.500, 0.000]], "space_group": "Pm-3m, No. 221", "formation_energy_uncorrected_ev_per_atom": 0.3329, "final_energy_ev_per_atom": -24.448}